Arrangement w

Computed, not measured: a relaxed structure of Mg2BeGa at the GGA-PBE level of DFT.

```
Mg2BeGa
1.0
9.0483 0.0000 0.0000
0.0000 9.0483 0.0000
4.5242 4.5242 2.1203
Mg Ga Be
4 2 2
Direct
0.4801 0.1250 0.2500 Mg
0.3750 0.5199 0.7500 Mg
0.2699 0.6250 0.2500 Mg
0.8750 0.7301 0.7500 Mg
0.0000 0.0000 0.0000 Ga
0.7500 0.2500 0.5000 Ga
0.2500 0.7500 0.5000 Be
0.5000 0.5000 0.0000 Be
```

Summary:
Total magnetization in μB/cell: 0.0

Arrangement x

Computed, not measured: a relaxed structure of Mg2BeGa at the GGA-PBE level of DFT.

```
Mg2BeGa
1.0
3.0212 0.0000 0.0000
1.5106 2.6165 0.0000
1.5106 0.8722 9.7020
Be Mg Ga
1 2 1
Direct
0.0000 0.0000 0.0000 Be
0.9122 0.9122 0.2635 Mg
0.0878 0.0878 0.7365 Mg
0.5000 0.5000 0.5000 Ga
```

Summary:
Total magnetization in μB/cell: 0.0

Which of them is the least stable? Correct choice: arrangement x.

Arrangement w

Computed, not measured: a relaxed structure of MgBe2Ga2 at the GGA-PBE level of DFT.

```
MgBe2Ga2
1.0
-2.5485 1.1239 -2.4072
-2.5802 -1.8418 1.8717
-3.4978 4.0403 2.7745
Mg Ga Be
1 2 2
Direct
0.0000 0.0000 0.0000 Mg
0.3840 0.3840 0.2321 Ga
0.6160 0.6160 0.7679 Ga
0.2500 0.7500 0.5000 Be
0.7500 0.2500 0.5000 Be
```

Summary:
Total magnetization in μB/cell: 0.0

Arrangement x

Computed, not measured: a relaxed structure of MgBe2Ga2 at the GGA-PBE level of DFT.

```
MgBe2Ga2
1.0
7.3934 0.0000 0.0000
0.0000 7.3934 0.0000
0.0000 0.0000 2.6747
Be Ga Mg
4 4 2
Direct
0.3400 0.1600 0.5000 Be
0.6600 0.8400 0.5000 Be
0.8400 0.3400 0.5000 Be
0.1600 0.6600 0.5000 Be
0.6360 0.1360 0.0000 Ga
0.3640 0.8640 0.0000 Ga
0.1360 0.3640 0.0000 Ga
0.8640 0.6360 0.0000 Ga
0.5000 0.5000 0.0000 Mg
0.0000 0.0000 0.0000 Mg
```

Summary:
Total magnetization in μB/cell: 0.0

Which of them is the least stable? Correct choice: arrangement x.

Arrangement w

Computed, not measured: a relaxed structure of MgBeGa2 at the GGA-PBE level of DFT.

```
MgBeGa2
1.0
0.0000 3.1930 3.1930
3.1930 0.0000 3.1930
3.1930 3.1930 0.0000
Mg Ga Be
1 2 1
Direct
0.5000 0.5000 0.5000 Mg
0.2500 0.2500 0.2500 Ga
0.7500 0.7500 0.7500 Ga
0.0000 0.0000 0.0000 Be
```

Summary:
Total magnetization in μB/cell: 0.0

Arrangement x

Computed, not measured: a relaxed structure of MgBeGa2 at the GGA-PBE level of DFT.

```
MgBeGa2
1.0
-0.0055 0.3818 -4.2953
4.1620 -1.1236 -0.1052
-0.0303 -8.1167 -2.8861
Ga Mg Be
4 2 2
Direct
0.2162 0.6250 0.2500 Ga
0.5338 0.1250 0.2500 Ga
0.3750 0.4662 0.7500 Ga
0.8750 0.7838 0.7500 Ga
0.7500 0.2500 0.5000 Mg
0.0000 0.0000 0.0000 Mg
0.2500 0.7500 0.5000 Be
0.5000 0.5000 0.0000 Be
```

Summary:
Total magnetization in μB/cell: 0.0

Which of them is the least stable? Correct choice: arrangement x.

Arrangement w

Computed, not measured: a relaxed structure of Be2Ga2Mo at the GGA-PBE level of DFT.

```
Be2Ga2Mo
1.0
6.7960 0.0000 0.0000
0.0000 6.7960 0.0000
0.0000 0.0000 2.8073
Be Ga Mo
4 4 2
Direct
0.6654 0.8346 0.5000 Be
0.3346 0.1654 0.5000 Be
0.8346 0.3346 0.5000 Be
0.1654 0.6654 0.5000 Be
0.1354 0.3646 0.0000 Ga
0.3646 0.8646 0.0000 Ga
0.6354 0.1354 0.0000 Ga
0.8646 0.6354 0.0000 Ga
0.5000 0.5000 0.0000 Mo
0.0000 0.0000 0.0000 Mo
```

Summary:
Total magnetization in μB/cell: 0.0

Arrangement x

Computed, not measured: a relaxed structure of Be2Ga2Mo at the GGA-PBE level of DFT.

```
Be2Ga2Mo
1.0
-3.1066 -2.4852 -5.1524
4.5646 -4.6109 -0.5282
-1.5791 -1.7701 1.8059
Ga Mo Be
4 2 4
Direct
0.8294 0.3294 0.5000 Ga
0.6706 0.8294 0.5000 Ga
0.3294 0.1706 0.5000 Ga
0.1706 0.6706 0.5000 Ga
0.0000 0.0000 0.0000 Mo
0.5000 0.5000 0.0000 Mo
0.3762 0.8762 0.0000 Be
0.1238 0.3762 0.0000 Be
0.8762 0.6238 0.0000 Be
0.6238 0.1238 0.0000 Be
```

Summary:
Total magnetization in μB/cell: 0.0

Which of them is the least stable? Correct choice: arrangement w.

Arrangement w

Computed, not measured: a relaxed structure of Be3GaMo at the GGA-PBE level of DFT.

```
Be3GaMo
1.0
-1.7462 -0.6980 3.8866
-3.1500 -2.3164 -1.8313
2.3812 -3.5761 0.4276
Be Mo Ga
3 1 1
Direct
0.0000 0.5000 0.0000 Be
0.5000 0.0000 0.0000 Be
0.0000 0.0000 0.5000 Be
0.0000 0.0000 0.0000 Mo
0.5000 0.5000 0.5000 Ga
```

Summary:
Total magnetization in μB/cell: 0.0

Arrangement x

Computed, not measured: a relaxed structure of Be3GaMo at the GGA-PBE level of DFT.

```
Be3GaMo
1.0
4.0277 0.0000 0.0000
0.0000 4.0277 0.0000
0.0000 0.0000 4.0277
Be Mo Ga
3 1 1
Direct
0.0000 0.5000 0.0000 Be
0.5000 0.0000 0.0000 Be
0.0000 0.0000 0.5000 Be
0.5000 0.5000 0.5000 Mo
0.0000 0.0000 0.0000 Ga
```

Summary:
Total magnetization in μB/cell: 0.0

Which of them is the least stable? Correct choice: arrangement w.

Arrangement w

Computed, not measured: a relaxed structure of BeGaN2 at the GGA-PBE level of DFT.

```
BeGaN2
1.0
1.6999 0.0000 5.4624
-0.8499 1.4721 5.4624
-0.8499 -1.4721 5.4624
N Ga Be
2 1 1
Direct
0.1098 0.1098 0.1098 N
0.8902 0.8902 0.8902 N
0.0000 0.0000 0.0000 Ga
0.5000 0.5000 0.5000 Be
```

Summary:
Total magnetization in μB/cell: 0.0

Arrangement x

Computed, not measured: a relaxed structure of BeGaN2 at the GGA-PBE level of DFT.

```
BeGaN2
1.0
4.1804 0.0000 0.0000
0.0000 4.1804 0.0000
2.0902 2.0902 4.4026
N Ga Be
4 2 2
Direct
0.1632 0.6250 0.2500 N
0.5868 0.1250 0.2500 N
0.8750 0.8368 0.7500 N
0.3750 0.4132 0.7500 N
0.0000 0.0000 0.0000 Ga
0.7500 0.2500 0.5000 Ga
0.5000 0.5000 0.0000 Be
0.2500 0.7500 0.5000 Be
```

Summary:
Total magnetization in μB/cell: 0.0

Arrangement y

Computed, not measured: a relaxed structure of BeGaN2 at the GGA-PBE level of DFT.

```
BeGaN2
1.0
0.0000 2.5722 2.5722
2.5722 0.0000 2.5722
2.5722 2.5722 0.0000
N Ga Be
2 1 1
Direct
0.2500 0.2500 0.2500 N
0.7500 0.7500 0.7500 N
0.5000 0.5000 0.5000 Ga
0.0000 0.0000 0.0000 Be
```

Summary:
Total magnetization in μB/cell: 0.0

Arrangement z

Computed, not measured: a relaxed structure of BeGaN2 at the GGA-PBE level of DFT.

```
BeGaN2
1.0
1.7719 0.0000 5.2676
-0.8860 1.5345 5.2676
-0.8860 -1.5345 5.2676
Be Ga N
1 1 2
Direct
0.0000 0.0000 0.0000 Be
0.5000 0.5000 0.5000 Ga
0.9033 0.9033 0.9033 N
0.0967 0.0967 0.0967 N
```

Summary:
Total magnetization in μB/cell: 0.0

Which of them is the least stable? Correct choice: arrangement y.

Arrangement w

Computed, not measured: a relaxed structure of BeGaSeN2 at the GGA-PBE level of DFT.

```
BeGaSeN2
1.0
-0.7290 -3.5472 -0.7730
2.6351 0.0254 -2.6014
4.0321 -1.7151 4.0676
Ga N Se Be
1 2 1 1
Direct
0.0000 0.0000 0.0000 Ga
0.0000 0.5000 0.0000 N
0.5000 0.0000 0.0000 N
0.0000 0.0000 0.5000 Se
0.5000 0.5000 0.5000 Be
```

Summary:
Total magnetization in μB/cell: 2.3

Arrangement x

Computed, not measured: a relaxed structure of BeGaSeN2 at the GGA-PBE level of DFT.

```
BeGaSeN2
1.0
-2.1369 0.8013 -2.6540
-2.7356 -1.1536 1.8543
-0.7452 5.3072 2.2024
Se N Be Ga
1 2 1 1
Direct
0.0000 0.0000 0.5000 Se
0.0000 0.5000 0.0000 N
0.5000 0.0000 0.0000 N
0.0000 0.0000 0.0000 Be
0.5000 0.5000 0.5000 Ga
```

Summary:
Total magnetization in μB/cell: 1.5

Which of them is the least stable? Correct choice: arrangement w.

Arrangement w

Computed, not measured: a relaxed structure of BeGaSe2N at the GGA-PBE level of DFT.

```
BeGaSe2N
1.0
-2.5833 -2.4242 3.7571
-3.4173 -1.7278 -3.4645
2.0122 -2.9446 -0.5163
Se N Be Ga
2 1 1 1
Direct
0.0000 0.5000 0.0000 Se
0.5000 0.0000 0.0000 Se
0.0000 0.0000 0.5000 N
0.5000 0.5000 0.5000 Be
0.0000 0.0000 0.0000 Ga
```

Summary:
Total magnetization in μB/cell: 1.8

Arrangement x

Computed, not measured: a relaxed structure of BeGaSe2N at the GGA-PBE level of DFT.

```
BeGaSe2N
1.0
5.3046 0.0000 0.0000
0.0000 5.3046 0.0000
0.0000 0.0000 3.0225
Be Se Ga N
1 2 1 1
Direct
0.0000 0.0000 0.0000 Be
0.5000 0.0000 0.0000 Se
0.0000 0.5000 0.0000 Se
0.5000 0.5000 0.5000 Ga
0.0000 0.0000 0.5000 N
```

Summary:
Total magnetization in μB/cell: 0.0

Which of them is the least stable? Correct choice: arrangement w.

Arrangement w

Computed, not measured: a relaxed structure of BeGaTeN2 at the GGA-PBE level of DFT.

```
BeGaTeN2
1.0
-2.3149 -2.9040 0.5627
2.4027 -1.4292 2.5086
-3.0004 3.3145 4.7620
Be N Ga Te
1 2 1 1
Direct
0.5000 0.5000 0.5000 Be
0.0000 0.5000 0.0000 N
0.5000 0.0000 0.0000 N
0.0000 0.0000 0.0000 Ga
0.0000 0.0000 0.5000 Te
```

Summary:
Total magnetization in μB/cell: 2.3

Arrangement x

Computed, not measured: a relaxed structure of BeGaTeN2 at the GGA-PBE level of DFT.

```
BeGaTeN2
1.0
-3.5141 -0.4743 -1.0577
-0.0784 -3.2714 1.7276
-1.6893 2.4291 4.5230
Be Ga N Te
1 1 2 1
Direct
0.0000 0.0000 0.0000 Be
0.5000 0.5000 0.5000 Ga
0.5000 0.0000 0.0000 N
0.0000 0.5000 0.0000 N
0.0000 0.0000 0.5000 Te
```

Summary:
Total magnetization in μB/cell: 0.9

Which of them is the least stable? Correct choice: arrangement w.

Arrangement w

Computed, not measured: a relaxed structure of BeGaTe2N at the GGA-PBE level of DFT.

```
BeGaTe2N
1.0
5.7039 0.0000 0.0000
0.0000 5.7039 0.0000
0.0000 0.0000 3.0995
Te Ga N Be
2 1 1 1
Direct
0.0000 0.5000 0.0000 Te
0.5000 0.0000 0.0000 Te
0.5000 0.5000 0.5000 Ga
0.0000 0.0000 0.5000 N
0.0000 0.0000 0.0000 Be
```

Summary:
Total magnetization in μB/cell: 0.0

Arrangement x

Computed, not measured: a relaxed structure of BeGaTe2N at the GGA-PBE level of DFT.

```
BeGaTe2N
1.0
5.6913 0.0000 0.0000
0.0000 5.6913 0.0000
0.0000 0.0000 3.4878
Te Be N Ga
2 1 1 1
Direct
0.0000 0.5000 0.0000 Te
0.5000 0.0000 0.0000 Te
0.5000 0.5000 0.5000 Be
0.0000 0.0000 0.5000 N
0.0000 0.0000 0.0000 Ga
```

Summary:
Total magnetization in μB/cell: 0.0

Which of them is the least stable? Correct choice: arrangement x.

Arrangement w

Computed, not measured: a relaxed structure of Be3NbGa at the GGA-PBE level of DFT.

```
Be3NbGa
1.0
4.4693 0.0000 0.0000
0.0000 4.4693 0.0000
0.0000 0.0000 4.4693
Be Ga Nb
3 1 1
Direct
0.5000 0.0000 0.0000 Be
0.0000 0.0000 0.5000 Be
0.0000 0.5000 0.0000 Be
0.5000 0.5000 0.5000 Ga
0.0000 0.0000 0.0000 Nb
```

Summary:
Total magnetization in μB/cell: 0.0

Arrangement x

Computed, not measured: a relaxed structure of Be3NbGa at the GGA-PBE level of DFT.

```
Be3NbGa
1.0
4.0643 0.0000 0.0000
0.0000 4.0643 0.0000
0.0000 0.0000 4.0643
Be Nb Ga
3 1 1
Direct
0.0000 0.0000 0.5000 Be
0.5000 0.0000 0.0000 Be
0.0000 0.5000 0.0000 Be
0.5000 0.5000 0.5000 Nb
0.0000 0.0000 0.0000 Ga
```

Summary:
Total magnetization in μB/cell: 0.0

Which of them is the least stable? Correct choice: arrangement w.

Arrangement w

Computed, not measured: a relaxed structure of Be2Nb2Ga at the GGA-PBE level of DFT.

```
Be2Nb2Ga
1.0
6.1314 0.0000 0.0000
0.0000 6.1314 0.0000
0.0000 0.0000 3.5689
Nb Be Ga
4 4 2
Direct
0.3216 0.1784 0.5000 Nb
0.1784 0.6784 0.5000 Nb
0.8216 0.3216 0.5000 Nb
0.6784 0.8216 0.5000 Nb
0.6176 0.1176 0.0000 Be
0.8824 0.6176 0.0000 Be
0.3824 0.8824 0.0000 Be
0.1176 0.3824 0.0000 Be
0.5000 0.5000 0.0000 Ga
0.0000 0.0000 0.0000 Ga
```

Summary:
Total magnetization in μB/cell: 0.0

Arrangement x

Computed, not measured: a relaxed structure of Be2Nb2Ga at the GGA-PBE level of DFT.

```
Be2Nb2Ga
1.0
-2.4846 0.8408 -2.2132
-2.0515 -2.3506 1.4100
-0.9364 5.1047 2.9907
Be Nb Ga
2 2 1
Direct
0.0000 0.2018 0.4036 Be
0.0000 0.7982 0.5964 Be
0.5000 0.3660 0.7321 Nb
0.5000 0.6340 0.2679 Nb
0.0000 0.0000 0.0000 Ga
```

Summary:
Total magnetization in μB/cell: 0.0

Which of them is the least stable? Correct choice: arrangement w.